The following is a PBE calculation of a relaxed NaPaTlI6 crystal, from Alexandria.

## Properties
D(E_F): 0.076 states/eV per atom
ΔE_f (raw): -968 meV/atom
symmetry: No. 163
electronic total energy: -62.39 eV for the cell shown

Cell lengths 8.1065, 8.1065, 15.1475 Å; angles 90.00, 90.00, 120.00 degrees
Last column: nearest neighbours and their distance in Å.
Atoms (fractional coordinates):
1 I 0.3694 0.3503 0.3669  1 Pa 3.05, 1 Na 3.25
2 I 0.6306 0.9809 0.8669  1 Pa 3.05, 1 Na 3.25
3 I 0.9809 0.6306 0.3669  1 Pa 3.05, 1 Na 3.25
4 I 0.3503 0.9809 0.6331  1 Pa 3.05, 1 Na 3.25
5 I 0.9809 0.3503 0.1331  1 Pa 3.05, 1 Na 3.25
6 I 0.6497 0.0191 0.3669  1 Pa 3.05, 1 Na 3.25
7 I 0.3694 0.0191 0.1331  1 Pa 3.05, 1 Na 3.25
8 I 0.6497 0.6306 0.1331  1 Pa 3.05, 1 Na 3.25
9 I 0.0191 0.6497 0.8669  1 Pa 3.05, 1 Na 3.25
10 I 0.6306 0.6497 0.6331  1 Pa 3.05, 1 Na 3.25
11 I 0.3503 0.3694 0.8669  1 Pa 3.05, 1 Na 3.25
12 I 0.0191 0.3694 0.6331  1 Pa 3.05, 1 Na 3.25
13 Tl 0.0000 0.0000 0.0000  6 I 3.55
14 Tl 0.0000 0.0000 0.5000  6 I 3.55
15 Na 0.6667 0.3333 0.7500  6 I 3.25
16 Na 0.3333 0.6667 0.2500  6 I 3.25
17 Pa 0.6667 0.3333 0.2500  6 I 3.05
18 Pa 0.3333 0.6667 0.7500  6 I 3.05

---

The following is a PBE calculation of a relaxed BaMg7 crystal, from Alexandria.

## Properties
polymorph energy (0 for the lowest one): 0.0 meV/atom
D(E_F): 0.456 states/eV per atom
symmetry: No. 187
electronic total energy: -12.39 eV for the cell shown

Cell lengths 6.9635, 6.9635, 5.3001 Å; angles 90.00, 90.00, 120.00 degrees
Last column: nearest neighbours and their distance in Å.
Atoms (fractional coordinates):
1 Mg 0.0122 0.5061 0.5000  10 Mg 3.25-3.61, 2 Ba 3.48
2 Mg 0.1826 0.3652 0.0000  8 Mg 3.15-3.49, 2 Ba 3.45
3 Mg 0.4939 0.9878 0.5000  10 Mg 3.25-3.61, 2 Ba 3.48
4 Mg 0.6667 0.3333 0.0000  12 Mg 3.37-3.49
5 Mg 0.1826 0.8174 0.0000  8 Mg 3.15-3.49, 2 Ba 3.45
6 Mg 0.4939 0.5061 0.5000  10 Mg 3.25-3.61, 2 Ba 3.48
7 Mg 0.6348 0.8174 0.0000  8 Mg 3.15-3.49, 2 Ba 3.45
8 Ba 0.0000 0.0000 0.5000  12 Mg 3.45-3.48

---

The following is a PBE calculation of a relaxed Ca3AsPd9Au2 crystal, from Alexandria.

## Properties
D(E_F): 0.518 states/eV per atom
symmetry: No. 164
electronic total energy: -66.68 eV for the cell shown

Cell lengths 7.0771, 7.0771, 7.9285 Å; angles 90.00, 90.00, 120.00 degrees
Last column: nearest neighbours and their distance in Å.
Atoms (fractional coordinates):
1 Ca 0.6667 0.3333 0.2919  3 Pd 3.09
2 Ca 0.0000 0.0000 0.0000  6 Pd 2.76
3 Ca 0.3333 0.6667 0.7081  3 Pd 3.09
4 Pd 0.1316 0.8684 0.2823  1 As 2.36, 1 Au 2.51
5 Pd 0.0000 0.5000 0.0000  2 Au 2.73
6 Pd 0.8684 0.7368 0.7177  1 As 2.36, 1 Au 2.51
7 Pd 0.7368 0.8684 0.2823  1 As 2.36, 1 Au 2.51
8 Pd 0.1316 0.2632 0.2823  1 As 2.36, 1 Au 2.51
9 Pd 0.5000 0.5000 0.0000  2 Au 2.73
10 Pd 0.5000 0.0000 0.0000  2 Au 2.73
11 Pd 0.2632 0.1316 0.7177  1 As 2.36, 1 Au 2.51
12 Pd 0.8684 0.1316 0.7177  1 As 2.36, 1 Au 2.51
13 As 0.0000 0.0000 0.5000  6 Pd 2.36
14 Au 0.3333 0.6667 0.2275  6 Pd 2.51-2.73
15 Au 0.6667 0.3333 0.7725  6 Pd 2.51-2.73

---

The following is a PBE calculation of a relaxed Pr2Tl crystal, from Alexandria.

## Properties
D(E_F): 1.253 states/eV per atom
symmetry: No. 62
electronic total energy: -50.99 eV for the cell shown

Cell lengths 5.3351, 6.9708, 10.4422 Å; angles 90.00, 90.00, 90.00 degrees
Last column: nearest neighbours and their distance in Å.
Atoms (fractional coordinates):
1 Tl 0.2500 0.2083 0.8865  10 Pr 3.34-3.70
2 Tl 0.7500 0.2917 0.3865  10 Pr 3.34-3.70
3 Tl 0.2500 0.7083 0.6135  10 Pr 3.34-3.70
4 Tl 0.7500 0.7917 0.1135  10 Pr 3.34-3.70
5 Pr 0.7500 0.4508 0.7056  5 Tl 3.36-3.68, 4 Pr 3.57-3.61
6 Pr 0.2500 0.6822 0.9329  5 Tl 3.34-3.70, 2 Pr 3.57
7 Pr 0.7500 0.9508 0.7944  5 Tl 3.36-3.68, 4 Pr 3.57-3.61
8 Pr 0.7500 0.8178 0.4329  5 Tl 3.34-3.70, 2 Pr 3.57
9 Pr 0.2500 0.1822 0.5671  5 Tl 3.34-3.70, 2 Pr 3.57
10 Pr 0.2500 0.0492 0.2056  5 Tl 3.36-3.68, 4 Pr 3.57-3.61
11 Pr 0.7500 0.3178 0.0671  5 Tl 3.34-3.70, 2 Pr 3.57
12 Pr 0.2500 0.5492 0.2944  5 Tl 3.36-3.68, 4 Pr 3.57-3.61

---

The following is a PBE calculation of a relaxed K3SmTm2Se6 crystal, from Alexandria.

## Properties
D(E_F): 0.000 states/eV per atom
ΔE_f (raw): -1752 meV/atom
symmetry: No. 12
electronic total energy: -58.89 eV for the cell shown

Cell lengths 7.2903, 7.2903, 8.0579 Å; angles 98.67, 98.67, 120.00 degrees
Last column: nearest neighbours and their distance in Å.
Atoms (fractional coordinates):
1 Se 0.5904 0.9317 0.7953  2 Tm 2.87, 1 Sm 2.94
2 Se 0.7268 0.7268 0.2046  2 Tm 2.87, 1 Sm 2.94
3 Se 0.2732 0.2732 0.7954  2 Tm 2.87, 1 Sm 2.94
4 Se 0.0683 0.4096 0.2047  2 Tm 2.87, 1 Sm 2.94
5 Se 0.4096 0.0683 0.2047  2 Tm 2.87, 1 Sm 2.94
6 Se 0.9317 0.5904 0.7953  2 Tm 2.87, 1 Sm 2.94
7 Tm 0.3332 0.6668 0.0000  6 Se 2.87
8 Tm 0.6668 0.3332 0.0000  6 Se 2.87
9 K 0.8347 0.1653 0.5000  6 Se 3.29-3.35
10 K 0.5000 0.5000 0.5000  6 Se 3.28-3.35
11 K 0.1653 0.8347 0.5000  6 Se 3.29-3.35
12 Sm 0.0000 0.0000 0.0000  6 Se 2.94

---

The following is a PBE calculation of a relaxed CaZnPb crystal, from Alexandria.

## Properties
D(E_F): 0.227 states/eV per atom
symmetry: No. 107
electronic total energy: -7.66 eV for the cell shown

Cell lengths 6.3835, 6.3833, 3.6936 Å; angles 73.19, 73.18, 33.63 degrees
Last column: nearest neighbours and their distance in Å.
Atoms (fractional coordinates):
1 Pb 0.3146 0.3146 0.6854  4 Zn 3.10
2 Ca 0.0134 0.0134 0.9866  4 Zn 3.20, 5 Pb 3.49-3.51
3 Zn 0.6720 0.6720 0.3280  4 Pb 3.10, 4 Ca 3.20